1.
Crystalline HoHfS at its relaxed geometry. Source: Alexandria via LeMat-Bulk, functional PBE-GGA.

The structure in extended XYZ format:
```
3
Lattice="4.470 0.000 0.000 -2.235 3.871 0.000 0.000 0.000 3.825" Properties=species:S:1:pos:R:3 pbc="T T T"
Ho 0.000 0.000 0.000
Hf 0.000 2.581 1.912
S 2.235 1.290 1.912
```

excess energy over the best structure of this formula in the dataset	45.5	kJ/mol of formula units
E_form (uncorrected)	-0.486	eV per atom



2.
Crystalline HoHfS3 at its relaxed geometry. Source: Alexandria via LeMat-Bulk, functional PBE-GGA.

The structure in extended XYZ format:
```
10
Lattice="6.547 0.000 0.000 -3.274 5.670 0.000 0.000 0.000 6.478" Properties=species:S:1:pos:R:3 pbc="T T T"
Ho 0.000 0.000 0.000
Ho 0.000 0.000 3.239
Hf 3.274 1.890 0.000
Hf 3.274 1.890 3.239
S 2.182 0.191 1.619
S 1.257 1.794 4.858
S 4.366 0.191 4.858
S 2.349 3.685 1.619
S 5.291 1.794 1.619
S 4.199 3.685 4.858
```

E_form (uncorrected)	-1.723	eV per atom



3.
Crystalline HoHfS2 at its relaxed geometry. Source: Alexandria via LeMat-Bulk, functional PBE-GGA.

The structure in extended XYZ format:
```
4
Lattice="1.818 1.050 6.657 -1.818 1.050 6.657 0.000 -2.099 6.657" Properties=species:S:1:pos:R:3 pbc="T T T"
Ho 0.000 0.000 0.000
Hf 0.000 0.000 3.476
S 0.000 0.000 11.614
S 0.000 0.000 15.187
```

excess energy over the best structure of this formula in the dataset	3.4	kJ/mol of formula units
E_form (uncorrected)	-1.543	eV per atom



4.
Crystalline HoHfS at its relaxed geometry. Source: Alexandria via LeMat-Bulk, functional PBE-GGA.

The structure in extended XYZ format:
```
6
Lattice="-1.705 2.581 7.685 1.705 -2.581 7.685 1.705 2.581 -7.685" Properties=species:S:1:pos:R:3 pbc="T T T"
Ho 0.000 0.000 2.597
Ho 0.000 0.000 12.773
Hf 1.705 1.290 0.000
Hf 0.000 1.291 7.685
S 0.000 0.000 5.282
S 0.000 0.000 10.088
```

excess energy over the best structure of this formula in the dataset	0.0	kJ/mol of formula units
E_form (uncorrected)	-0.643	eV per atom



5.
Crystalline Ho6HfS8 at its relaxed geometry. Source: Alexandria via LeMat-Bulk, functional PBE-GGA.

The structure in extended XYZ format:
```
15
Lattice="0.000 5.448 5.448 5.448 0.000 5.448 5.448 5.448 0.000" Properties=species:S:1:pos:R:3 pbc="T T T"
Ho 2.724 2.724 0.000
Ho 2.724 0.000 2.724
Ho 5.448 2.724 2.724
Ho 0.000 2.724 2.724
Ho 2.724 5.448 2.724
Ho 2.724 2.724 5.448
Hf 0.000 0.000 0.000
S 5.448 5.448 2.656
S 5.448 2.656 5.448
S 8.241 5.448 5.448
S 2.724 2.724 2.724
S 8.172 8.172 8.172
S 2.656 5.448 5.448
S 5.448 8.241 5.448
S 5.448 5.448 8.241
```

E_form (uncorrected)	-1.938	eV per atom



6.
Crystalline Ho3HfS6 at its relaxed geometry. Source: Alexandria via LeMat-Bulk, functional PBE-GGA.

The structure in extended XYZ format:
```
20
Lattice="5.871 3.390 3.824 -5.871 3.390 3.824 0.000 -6.779 3.824" Properties=species:S:1:pos:R:3 pbc="T T T"
Ho -2.893 -2.868 5.848
Ho -3.931 1.072 5.624
Ho 1.037 -3.940 5.624
Ho -1.037 3.940 5.848
Ho 3.931 -1.072 5.848
Ho 2.893 2.868 5.624
Hf 0.000 0.000 0.000
Hf 0.000 0.000 5.736
S -5.036 -1.309 6.424
S -1.384 -5.016 5.048
S -2.090 -0.477 4.395
S -3.652 3.707 5.048
S 1.459 -1.572 4.395
S -0.632 -2.049 7.077
S 0.632 2.049 4.395
S -1.459 1.572 7.077
S 3.652 -3.707 6.424
S 2.090 0.477 7.077
S 1.384 5.016 6.424
S 5.036 1.309 5.048
```

E_form (uncorrected)	-1.877	eV per atom



7.
Crystalline HoHfS2 at its relaxed geometry. Source: Alexandria via LeMat-Bulk, functional PBE-GGA.

The structure in extended XYZ format:
```
4
Lattice="1.883 1.087 6.115 -1.883 1.087 6.115 0.000 -2.175 6.115" Properties=species:S:1:pos:R:3 pbc="T T T"
Ho 0.000 0.000 0.000
Hf 0.000 0.000 9.172
S 0.000 0.000 4.490
S 0.000 0.000 13.854
```

excess energy over the best structure of this formula in the dataset	0.0	kJ/mol of formula units
E_form (uncorrected)	-1.551	eV per atom



8.
Crystalline HoHfS4 at its relaxed geometry. Source: Alexandria via LeMat-Bulk, functional PBE-GGA.

The structure in extended XYZ format:
```
6
Lattice="4.378 -4.428 0.000 4.378 4.428 0.000 0.000 0.000 3.853" Properties=species:S:1:pos:R:3 pbc="T T T"
Ho 0.000 0.000 0.000
Hf 4.378 0.000 1.926
S 1.862 0.000 1.926
S 4.378 1.682 0.000
S 4.378 -1.682 0.000
S 6.894 0.000 1.926
```

E_form (uncorrected)	-1.410	eV per atom



9.
Crystalline HoHfSc2S6 at its relaxed geometry. Source: Alexandria via LeMat-Bulk, functional PBE-GGA.

The structure in extended XYZ format:
```
10
Lattice="3.266 1.885 5.989 -3.266 1.885 5.989 0.000 -3.771 5.989" Properties=species:S:1:pos:R:3 pbc="T T T"
Ho 0.000 0.000 0.000
Hf 0.000 0.000 9.087
Sc 0.000 0.000 3.439
Sc 0.000 0.000 12.465
S -1.020 -1.957 7.798
S -1.975 0.104 10.743
S -1.185 1.862 7.798
S 0.897 -1.763 10.743
S 2.205 0.095 7.798
S 1.078 1.658 10.743
```

E_form (uncorrected)	-1.798	eV per atom



10.
Crystalline HoHfSb3 at its relaxed geometry. Source: Alexandria via LeMat-Bulk, functional PBE-GGA.

The structure in extended XYZ format:
```
20
Lattice="13.089 0.000 0.000 0.000 6.348 0.000 0.000 0.000 6.320" Properties=species:S:1:pos:R:3 pbc="T T T"
Ho 2.342 0.083 1.580
Ho 2.342 3.091 4.740
Ho 10.746 3.258 1.580
Ho 10.746 6.265 4.740
Hf 5.314 4.761 0.000
Hf 5.314 4.761 3.160
Hf 7.775 1.587 0.000
Hf 7.775 1.587 3.160
Sb 0.047 4.761 0.000
Sb 0.047 4.761 3.160
Sb 3.348 3.212 1.580
Sb 3.348 6.310 4.740
Sb 5.457 0.798 1.580
Sb 5.457 2.377 4.740
Sb 7.631 3.972 1.580
Sb 7.631 5.551 4.740
Sb 9.741 0.038 1.580
Sb 9.741 3.136 4.740
Sb 13.041 1.587 0.000
Sb 13.041 1.587 3.160
```

E_form (uncorrected)	-0.634	eV per atom



11.
Crystalline HoHfSb at its relaxed geometry. Source: Alexandria via LeMat-Bulk, functional PBE-GGA.

The structure in extended XYZ format:
```
6
Lattice="4.181 0.000 0.000 0.000 4.181 0.000 0.000 0.000 9.415" Properties=species:S:1:pos:R:3 pbc="T T T"
Ho 1.045 1.045 1.903
Ho 3.136 3.136 7.512
Hf 1.045 1.045 5.313
Hf 3.136 3.136 4.102
Sb 1.045 1.045 8.196
Sb 3.136 3.136 1.219
```

E_form (uncorrected)	-0.319	eV per atom



12.
Crystalline HoHfSb at its relaxed geometry. Source: Alexandria via LeMat-Bulk, functional PBE-GGA.

The structure in extended XYZ format:
```
3
Lattice="4.938 0.000 0.000 -2.469 4.276 0.000 0.000 0.000 3.674" Properties=species:S:1:pos:R:3 pbc="T T T"
Ho 0.000 0.000 0.000
Hf 0.000 2.851 1.902
Sb 2.469 1.425 1.524
```

E_form (uncorrected)	-0.160	eV per atom



13.
Crystalline HoHf3Sb2 at its relaxed geometry. Source: Alexandria via LeMat-Bulk, functional PBE-GGA.

The structure in extended XYZ format:
```
12
Lattice="8.741 -2.000 0.000 8.741 2.000 0.000 -3.586 0.000 8.243" Properties=species:S:1:pos:R:3 pbc="T T T"
Ho 1.553 0.000 1.036
Ho 12.343 0.000 7.207
Hf -1.360 0.000 5.465
Hf 5.076 0.000 0.863
Hf 4.634 0.000 4.301
Hf 9.262 0.000 3.942
Hf 8.821 0.000 7.380
Hf 15.257 0.000 2.777
Sb 1.749 0.000 5.846
Sb 7.936 0.000 1.306
Sb 5.960 0.000 6.936
Sb 12.147 0.000 2.397
```

E_form (uncorrected)	-0.431	eV per atom



14.
Crystalline Ho4HfSb5 at its relaxed geometry. Source: Alexandria via LeMat-Bulk, functional PBE-GGA.

The structure in extended XYZ format:
```
10
Lattice="-2.156 2.156 15.220 2.156 -2.156 15.220 2.156 2.156 -15.220" Properties=species:S:1:pos:R:3 pbc="T T T"
Ho 0.000 0.000 3.041
Ho 0.000 0.000 9.182
Ho 0.000 0.000 21.258
Ho 0.000 0.000 27.399
Hf 0.000 0.000 15.220
Sb 0.000 0.000 0.000
Sb 0.000 0.000 6.092
Sb 0.000 0.000 12.293
Sb 0.000 0.000 18.147
Sb 0.000 0.000 24.347
```

E_form (uncorrected)	-0.947	eV per atom



15.
Crystalline Ho2HfScSb4 at its relaxed geometry. Source: Alexandria via LeMat-Bulk, functional PBE-GGA.

The structure in extended XYZ format:
```
8
Lattice="7.339 0.000 0.000 0.000 4.241 0.000 -2.436 0.000 6.943" Properties=species:S:1:pos:R:3 pbc="T T T"
Ho 0.000 0.000 0.000
Ho 3.669 2.120 0.000
Hf -1.218 2.120 3.472
Sc 2.451 0.000 3.472
Sb 0.001 0.000 5.101
Sb 1.217 2.120 1.838
Sb 3.686 2.120 5.105
Sb 4.902 0.000 1.842
```

E_form (uncorrected)	-0.896	eV per atom



16.
Crystalline Tb2HoHfSb4 at its relaxed geometry. Source: Alexandria via LeMat-Bulk, functional PBE-GGA.

The structure in extended XYZ format:
```
8
Lattice="7.462 0.000 0.000 0.000 4.304 0.000 -2.474 0.000 7.050" Properties=species:S:1:pos:R:3 pbc="T T T"
Tb 0.000 0.000 0.000
Tb 3.731 2.152 0.000
Ho -1.237 2.152 3.525
Hf 2.494 0.000 3.525
Sb 0.070 0.000 5.228
Sb 1.304 2.152 1.860
Sb 3.685 2.152 5.191
Sb 4.919 0.000 1.822
```

E_form (uncorrected)	-0.948	eV per atom



17.
Crystalline TbHo2HfSb4 at its relaxed geometry. Source: Alexandria via LeMat-Bulk, functional PBE-GGA.

The structure in extended XYZ format:
```
8
Lattice="7.448 0.000 0.000 0.000 4.299 0.000 -2.461 0.000 7.031" Properties=species:S:1:pos:R:3 pbc="T T T"
Tb 0.000 0.000 0.000
Ho 2.493 0.000 3.516
Ho 3.724 2.149 0.000
Hf -1.230 2.149 3.516
Sb -0.033 0.000 5.187
Sb 1.196 2.149 1.811
Sb 3.791 2.149 5.220
Sb 5.020 0.000 1.844
```

E_form (uncorrected)	-0.934	eV per atom



18.
Crystalline HoHfSc6 at its relaxed geometry. Source: Alexandria via LeMat-Bulk, functional PBE-GGA.

The structure in extended XYZ format:
```
8
Lattice="6.658 0.000 0.000 -3.329 5.766 0.000 0.000 0.000 5.169" Properties=species:S:1:pos:R:3 pbc="T T T"
Ho 0.000 0.000 0.000
Hf 3.329 1.922 2.584
Sc 0.000 1.954 2.584
Sc -1.637 4.789 2.584
Sc 3.329 0.038 0.000
Sc 1.698 2.864 0.000
Sc 1.637 4.789 2.584
Sc 4.960 2.864 0.000
```

excess energy over the best structure of this formula in the dataset	0.0	kJ/mol of formula units
energy relative to the elements	32.9	meV per atom



19.
Crystalline HoHfSc2 at its relaxed geometry. Source: Alexandria via LeMat-Bulk, functional PBE-GGA.

The structure in extended XYZ format:
```
4
Lattice="3.756 0.000 0.000 0.000 3.756 0.000 0.000 0.000 7.211" Properties=species:S:1:pos:R:3 pbc="T T T"
Ho 0.000 0.000 0.000
Hf 0.000 0.000 3.605
Sc 1.878 1.878 2.028
Sc 1.878 1.878 5.183
```

excess energy over the best structure of this formula in the dataset	30.5	kJ/mol of formula units
energy relative to the elements	143.2	meV per atom



20.
Crystalline Ho2HfSc6 at its relaxed geometry. Source: Alexandria via LeMat-Bulk, functional PBE-GGA.

The structure in extended XYZ format:
```
9
Lattice="3.329 0.000 0.000 -1.664 2.883 0.000 0.000 0.000 24.139" Properties=species:S:1:pos:R:3 pbc="T T T"
Ho 0.000 0.000 4.216
Ho 0.000 0.000 19.923
Hf 1.664 0.961 12.069
Sc 0.000 0.000 9.593
Sc 0.000 0.000 14.546
Sc 1.664 0.961 1.504
Sc 1.664 0.961 6.984
Sc 1.664 0.961 17.155
Sc 1.664 0.961 22.635
```

excess energy over the best structure of this formula in the dataset	22.6	kJ/mol of formula units
energy relative to the elements	73.8	meV per atom



21.
Crystalline HoHfSc at its relaxed geometry. Source: Alexandria via LeMat-Bulk, functional PBE-GGA.

The structure in extended XYZ format:
```
6
Lattice="3.205 -3.211 0.000 3.205 3.211 0.000 -1.620 0.000 7.537" Properties=species:S:1:pos:R:3 pbc="T T T"
Ho 0.841 0.000 1.351
Ho 3.950 0.000 6.186
Hf 0.851 0.000 6.078
Hf 3.941 0.000 1.459
Sc 2.396 1.590 3.769
Sc 2.396 -1.590 3.769
```

excess energy over the best structure of this formula in the dataset	74.5	kJ/mol of formula units
energy relative to the elements	288.9	meV per atom



22.
Crystalline HoHfSc2 at its relaxed geometry. Source: Alexandria via LeMat-Bulk, functional PBE-GGA.

The structure in extended XYZ format:
```
4
Lattice="1.644 0.949 10.749 -1.644 0.949 10.749 0.000 -1.898 10.749" Properties=species:S:1:pos:R:3 pbc="T T T"
Ho 0.000 0.000 0.000
Hf 0.000 0.000 16.124
Sc 0.000 0.000 7.890
Sc 0.000 0.000 24.357
```

excess energy over the best structure of this formula in the dataset	3.6	kJ/mol of formula units
energy relative to the elements	73.6	meV per atom



23.
Crystalline HoHfSc2 at its relaxed geometry. Source: Alexandria via LeMat-Bulk, functional PBE-GGA.

The structure in extended XYZ format:
```
4
Lattice="0.000 3.686 3.686 3.686 0.000 3.686 3.686 3.686 0.000" Properties=species:S:1:pos:R:3 pbc="T T T"
Ho 0.000 0.000 0.000
Hf 3.686 3.686 3.686
Sc 1.843 1.843 1.843
Sc 5.529 5.529 5.529
```

excess energy over the best structure of this formula in the dataset	50.0	kJ/mol of formula units
energy relative to the elements	193.9	meV per atom



24.
Crystalline HoHf3Sc7 at its relaxed geometry. Source: Alexandria via LeMat-Bulk, functional PBE-GGA.

The structure in extended XYZ format:
```
11
Lattice="6.433 0.000 0.000 -3.217 5.572 0.000 0.000 0.000 7.773" Properties=species:S:1:pos:R:3 pbc="T T T"
Ho 0.000 0.000 0.000
Hf 0.000 1.875 5.140
Hf -1.593 4.634 5.140
Hf 1.593 4.634 5.140
Sc -1.597 2.792 7.661
Sc 0.000 3.714 2.589
Sc 1.610 0.929 2.685
Sc 1.597 2.792 7.661
Sc 0.000 5.559 7.661
Sc 4.824 0.929 2.685
Sc 3.217 3.713 2.685
```

energy relative to the elements	287.4	meV per atom